Li3Hf2CrN6 PBE optimized geometry; crystal system = monoclinic; energy relative to the elements, uncorrected = -0.74 eV/atom
1.0
-1.153 -5.032 -1.447
4.541 2.306 -1.676
1.294 -0.846 5.070
Li Hf Cr N
3 2 1 6
Cartesian
4.329 0.776 0.894
0.353 -4.348 1.054
2.341 -1.786 0.974
2.643 -0.139 -1.599
0.745 -2.587 -1.523
0.000 0.000 0.000
2.758 -3.902 1.573
2.855 -2.254 -1.243
1.924 0.330 0.375
4.512 -1.642 1.502
1.827 -1.318 3.191
0.170 -1.930 0.446

NaLiHf2Cr PBE optimized geometry; crystal system = tetragonal; ΔH_f (0 K) = 1.437 eV/atom
1.0
4.938 0.000 0.000
0.000 3.842 0.000
0.000 0.000 4.938
Cr Li Hf Na
1 1 2 1
Cartesian
2.469 1.921 2.469
0.000 0.000 0.000
0.000 0.000 2.469
2.469 0.000 0.000
0.000 1.921 0.000

LiHf2CrPb PBE optimized geometry; crystal system = tetragonal; ΔH_f (0 K) = 1.600 eV/atom
1.0
5.354 0.000 0.000
0.000 4.449 0.000
0.000 0.000 5.354
Pb Cr Hf Li
1 1 2 1
Cartesian
0.000 0.000 0.000
2.677 2.224 2.677
0.000 0.000 2.677
2.677 0.000 0.000
0.000 2.224 0.000

Li2HfCrS4 PBE optimized geometry; crystal system = monoclinic; energy relative to the elements, uncorrected = -1.24 eV/atom
1.0
-0.552 2.232 -2.764
-2.191 -4.688 -3.348
-4.912 2.718 3.177
Li Hf Cr S
2 1 1 4
Cartesian
-2.732 2.475 0.206
-3.552 -0.985 -0.086
-1.372 -1.228 -3.056
0.000 0.000 0.000
-1.943 0.641 -1.433
-5.713 -0.378 -1.503
-4.269 0.909 1.587
-2.835 -2.879 -1.758

Li2Hf2CrS6 PBE optimized geometry; crystal system = monoclinic; energy relative to the elements, uncorrected = -1.34 eV/atom
1.0
6.124 -0.019 0.066
-3.043 5.314 0.066
-1.087 -1.868 6.191
Li Hf Cr S
2 2 1 6
Cartesian
4.573 0.883 0.066
-1.493 4.412 0.066
-0.529 2.601 3.162
2.523 0.826 3.162
-0.543 -0.934 3.096
1.545 2.656 4.651
-1.534 0.743 4.588
0.449 0.771 1.674
1.404 -0.966 4.588
3.528 2.684 1.736
0.590 4.394 1.736

Li4Hf3CrS8 PBE optimized geometry; crystal system = trigonal; energy relative to the elements, uncorrected = -1.37 eV/atom
1.0
-0.539 4.060 5.906
-6.253 -3.568 1.882
5.961 -3.833 -1.193
Li Hf Cr S
4 3 1 8
Cartesian
-0.270 2.030 2.953
2.711 0.113 2.356
0.000 0.000 0.000
2.981 -1.917 -0.597
-3.396 0.246 3.894
-0.415 -1.671 3.297
-0.146 -3.701 0.344
-3.126 -1.784 0.941
1.174 -5.471 1.651
-1.848 -3.529 2.257
1.276 -1.805 1.357
0.901 -3.413 4.646
-1.732 0.071 1.948
-2.107 -1.536 5.236
1.017 0.187 4.337
-2.005 2.130 4.943

LiHfCrS4 PBE optimized geometry; crystal system = orthorhombic; energy relative to the elements, uncorrected = -1.24 eV/atom
1.0
-6.337 1.269 3.604
-2.513 -4.793 4.867
0.043 1.670 7.084
Li Hf Cr S
2 2 2 8
Cartesian
-5.494 -2.029 6.247
-3.312 0.175 9.307
-3.147 1.469 5.344
0.021 0.835 3.542
0.000 0.000 0.000
-1.235 -1.562 5.975
-6.667 -1.411 11.564
-3.424 -2.130 9.923
-5.383 0.276 5.631
-2.140 -0.444 3.991
-3.258 -2.906 6.225
-6.815 -2.194 8.248
-1.992 0.339 7.307
-5.549 1.052 9.330

LiHfCr2Se PBE optimized geometry; crystal system = tetragonal; energy relative to the elements, uncorrected = 0.76 eV/atom
1.0
4.394 0.000 0.000
0.000 4.249 0.000
0.000 0.000 4.394
Cr Hf Se Li
2 1 1 1
Cartesian
0.000 0.000 2.197
2.197 0.000 0.000
2.197 2.124 2.197
0.000 2.124 0.000
0.000 0.000 0.000

| no. | M_tot (μB per atom) |
| --- | --- |
| 1 | 0.000 |
| 2 | 0.000 |
| 3 | 0.028 |
| 4 | 0.421 |
| 5 | 0.187 |
| 6 | 0.219 |
| 7 | 0.429 |
| 8 | 1.183 |